Below is crystalline BIBrN2 at its relaxed geometry, with properties calculated at the GGA-PBEsol level.

Unit cell a=3.632 b=3.632 c=6.156 alpha=90.00 beta=90.00 gamma=90.00
Space group P4/mmm (No. 123)
Unique sites:
B  0.000  0.000  0.000
I  0.000  0.000  0.500
Br  0.500  0.500  0.500
N  0.000  0.500  0.000

Values from the calculation:
Calculated total energy   -3.67 eV/atom